(1)
Density functional theory data (PBE) for a geometry-optimized MgPaCdGa structure.

Computed properties:
Energy of formation ... -0.022 eV per atom
N(E_F) ... 4.56 states/eV per cell
M_tot ... 0.000 μB/f.u.
Symmetry ... F-43m (216)

```
MgPaCdGa
1.0
5.006 0.000 0.000
2.503 4.336 0.000
2.503 1.445 4.088
Mg Pa Ga Cd
1 1 1 1
Cartesian
5.006 2.890 2.044 Mg
0.000 0.000 0.000 Pa
2.503 1.445 1.022 Ga
7.510 4.336 3.066 Cd
```

(2)
Density functional theory data (PBE) for a geometry-optimized InOsI2 structure.

Computed properties:
ΔE_f (raw) ... 1.169 eV per atom
N(E_F) ... 1.00 states/eV per cell
M_tot ... 3.114 μB/f.u.
Symmetry ... Fm-3m (225)

```
InOsI2
1.0
3.249 -3.582 2.301
-2.053 -4.335 2.383
0.653 -4.833 -2.212
I Os In
2 1 1
Cartesian
0.462 -3.188 0.618 I
1.387 -9.563 1.854 I
0.925 -6.375 1.236 Os
0.000 0.000 0.000 In
```

(3)
Density functional theory data (PBE) for a geometry-optimized ErZnAgRu structure.

Computed properties:
Energy of formation ... -0.133 eV per atom
N(E_F) ... 1.17 states/eV per cell
M_tot ... 0.000 μB/f.u.
Symmetry ... F-43m (216)

```
ErZnAgRu
1.0
-4.414 0.827 -1.224
-3.413 -0.490 3.127
-2.206 3.754 1.644
Ru Zn Ag Er
1 1 1 1
Cartesian
-7.525 3.069 2.660 Ru
0.000 0.000 0.000 Zn
-2.508 1.023 0.887 Ag
-5.017 2.046 1.774 Er
```